This record from the Alexandria database describes a relaxed AcSm2H8 crystal. The functional is GGA-PBE.

a b c (Å): 3.872 5.490 11.686
angles (deg): 90.00 90.00 90.00
Space group Immm (No. 71)
Symmetry-distinct sites (fractional):
1 Ac 0.000 0.000 0.000 (multiplicity 2)
2 Sm 0.000 0.000 0.329 (multiplicity 4)
3 H 0.000 0.206 0.500 (multiplicity 4)
4 H 0.000 0.271 0.169 (multiplicity 8)
5 H 0.000 0.500 0.343 (multiplicity 4)

## Properties
Fermi-level density of states (states/eV/cell): 2.76
Total energy (eV per atom): -4.245
Magnetic moment (μB per cell): 0.00

---

This record from the Alexandria database describes a relaxed AlSnMo2 crystal. The functional is GGA-PBE.

a b c (Å): 6.456 6.456 6.456
angles (deg): 90.00 90.00 90.00
Space group Fm-3m (No. 225)
Symmetry-distinct sites (fractional):
1 Al 0.000 0.000 0.000 (multiplicity 4)
2 Sn 0.000 0.000 0.500 (multiplicity 4)
3 Mo 0.250 0.250 0.250 (multiplicity 8)

## Properties
Formation enthalpy at 0 K (eV/atom): 0.266
Fermi-level density of states (states/eV/cell): 20.62
Magnetic moment (μB per cell): 0.01

---

This record from the Alexandria database describes a relaxed BaLi3Cd2 crystal. The functional is GGA-PBE.

a b c (Å): 16.632 4.817 9.065
angles (deg): 90.00 116.04 90.00
Space group C2/m (No. 12)
Symmetry-distinct sites (fractional):
1 Ba 0.153 0.000 0.071 (multiplicity 4)
2 Li 0.028 0.000 0.364 (multiplicity 4)
3 Li 0.082 0.500 0.646 (multiplicity 4)
4 Li 0.188 0.500 0.463 (multiplicity 4)
5 Cd 0.022 0.500 0.181 (multiplicity 4)
6 Cd 0.177 0.000 0.667 (multiplicity 4)

## Properties
Formation enthalpy at 0 K (eV/atom): -0.176
Fermi-level density of states (states/eV/cell): 14.23
Magnetic moment (μB per cell): 0.00